(1)
A geometry-optimized NiBPt2 structure, computed with PBE.

Lattice parameters (Å, degrees): 3.995 5.613 5.222 105.58 112.49 90.00
Atoms (fractional coordinates):
Pt1 0.171 0.585 0.341
B1 0.000 0.750 0.000
Pt2 0.829 0.915 0.659
Ni1 0.500 0.250 0.000
Pt3 0.829 0.415 0.659
Pt4 0.171 0.085 0.341
B2 0.000 0.250 0.000
Ni2 0.500 0.750 0.000

Values from the calculation:
Magnetization ... 0.0 μB/f.u.
E_form ... -0.0997 eV/atom
SG ... Immm, No. 71


(2)
A geometry-optimized Li2PCl structure, computed with PBE.

Lattice parameters (Å, degrees): 4.639 4.639 3.059 89.89 89.89 103.89
Atoms (fractional coordinates):
P1 0.500 0.000 0.500
Li1 0.500 0.500 0.000
Cl1 0.000 0.500 0.500
Li2 0.000 0.000 0.000

Values from the calculation:
E_form (uncorrected) ... -0.612 eV/atom
Magnetization ... 0.0 μB/f.u.
Excess energy over the best structure of this formula in the dataset ... 230.7 meV per atom
SG ... C2/m, No. 12


(3)
A geometry-optimized Mg2SbPd2 structure, computed with PBE.

Lattice parameters (Å, degrees): 4.539 4.497 9.692 90.05 90.00 90.00
Atoms (fractional coordinates):
Mg1 0.250 0.750 0.003
Sb1 0.250 0.749 0.326
Mg2 0.250 0.750 0.675
Mg3 0.750 0.250 0.997
Pd1 0.750 0.750 0.505
Pd2 0.250 0.250 0.495
Mg4 0.750 0.250 0.325
Pd3 0.750 0.750 0.169
Sb2 0.750 0.251 0.674
Pd4 0.250 0.250 0.831

Values from the calculation:
E_form (uncorrected) ... -0.545 eV/atom
Magnetization ... 0.0 μB/f.u.
Excess energy over the best structure of this formula in the dataset ... 19.9 meV per atom
SG ... P2_1/m, No. 11


(4)
A geometry-optimized Nd2Ga3HgAu4 structure, computed with PBE.

Lattice parameters (Å, degrees): 4.458 4.458 10.929 90.00 90.00 90.00
Atoms (fractional coordinates):
Nd1 0.500 0.000 0.242
Au1 0.500 0.500 0.000
Ga1 0.000 0.500 0.124
Ga2 0.000 0.000 0.500
Au2 0.500 0.000 0.649
Nd2 0.000 0.500 0.758
Hg1 0.500 0.500 0.500
Ga3 0.500 0.000 0.876
Au3 0.000 0.500 0.351
Au4 0.000 0.000 0.000

Values from the calculation:
Magnetization ... 0.0 μB/f.u.
E_form ... -0.5522 eV/atom
SG ... P-4m2, No. 115


(5)
A geometry-optimized HoNpAs2 structure, computed with PBE.

Lattice parameters (Å, degrees): 4.095 4.095 7.119 73.29 73.29 60.00
Site moments in Bohr magnetons follow the coordinates.
Atoms (fractional coordinates):
Np1 0.500 0.500 0.500  3.72
Ho1 0.000 0.000 0.000  0.00
As1 0.750 0.750 0.749  -0.07
As2 0.250 0.250 0.251  -0.07

Values from the calculation:
Magnetization ... 3.8 μB/f.u.
E_form ... -1.1009 eV/atom
Excess energy over the best structure of this formula in the dataset ... 0.0 meV per atom
SG ... R-3m, No. 166


(6)
A geometry-optimized BaTbAu10 structure, computed with PBE.

Lattice parameters (Å, degrees): 4.756 5.602 9.902 90.00 90.00 90.00
Atoms (fractional coordinates):
Au1 0.500 0.752 0.755
Au2 0.000 0.500 0.846
Au3 0.500 0.752 0.245
Au4 0.500 0.000 0.500
Au5 0.500 0.248 0.755
Au6 0.000 0.500 0.154
Au7 0.500 0.500 0.000
Tb1 0.000 0.000 0.000
Au8 0.000 0.000 0.688
Ba1 0.000 0.500 0.500
Au9 0.000 0.000 0.312
Au10 0.500 0.248 0.245

Values from the calculation:
Magnetization ... 0.0 μB/f.u.
E_form ... -0.3940 eV/atom
SG ... Pmmm, No. 47


(7)
A geometry-optimized TlZnRu2 structure, computed with PBE.

Lattice parameters (Å, degrees): 4.517 4.517 4.517 60.00 60.00 60.00
Site moments in Bohr magnetons follow the coordinates.
Atoms (fractional coordinates):
Zn1 0.750 0.750 0.750  0.01
Ru1 0.000 0.000 0.000  0.97
Tl1 0.500 0.500 0.500  0.01
Ru2 0.250 0.250 0.250  0.76

Values from the calculation:
Magnetization ... 1.8 μB/f.u.
E_form ... 0.5387 eV/atom
Excess energy over the best structure of this formula in the dataset ... 288.5 meV per atom
SG ... F-43m, No. 216


(8)
A geometry-optimized Dy8Te3CS3 structure, computed with PBE.

Lattice parameters (Å, degrees): 7.963 7.971 8.389 118.39 90.00 119.97
Atoms (fractional coordinates):
S1 0.000 0.500 0.500
Te1 0.500 0.500 0.000
Dy1 0.761 0.977 0.694
Dy2 0.784 0.567 0.306
Dy3 0.239 0.023 0.306
Dy4 0.267 0.533 0.300
Te2 0.000 0.000 0.000
Dy5 0.216 0.977 0.694
S2 0.500 0.500 0.500
Te3 0.000 0.500 0.000
Dy6 0.784 0.023 0.306
Dy7 0.733 0.467 0.700
S3 0.500 0.000 0.500
Dy8 0.216 0.433 0.694
C1 0.000 0.000 0.500

Values from the calculation:
E_form (uncorrected) ... -1.375 eV/atom
Magnetization ... 0.0 μB/f.u.
SG ... C2/m, No. 12